Entry 1:
An optimized crystal structure of Tb2NbTe, computed with PBE.

The structure in POSCAR format:
```
Tb2NbTe
1.0
1.824 1.053 10.023
-1.824 1.053 10.023
0.000 -2.106 10.023
Tb Nb Te
2 1 1
direct
0.094 0.094 0.094
0.906 0.906 0.906
0.000 0.000 0.000
0.500 0.500 0.500
```

Summary:
D(E_F), states/eV/atom: 1.641
ΔE_f (raw), meV per atom: 282
Symmetry: R-3m
Raw total energy, eV per atom: -5.3355

=====

Entry 2:
An optimized crystal structure of ZrMn2Re, computed with PBE.

The structure in POSCAR format:
```
ZrMn2Re
1.0
0.000 3.099 3.099
3.099 0.000 3.099
3.099 3.099 0.000
Zr Mn Re
1 2 1
direct
0.000 0.000 0.000
0.500 0.500 0.500
0.750 0.750 0.750
0.250 0.250 0.250
```

Summary:
D(E_F), states/eV/atom: 0.972
ΔE to the lowest computed polymorph, meV per atom: 112
Symmetry: F-43m
Raw total energy, eV per atom: -9.6823

=====

Entry 3:
An optimized crystal structure of Nd8AlAu2, computed with PBE.

The structure in POSCAR format:
```
Nd8AlAu2
1.0
9.350 -2.631 0.000
9.350 2.631 0.000
-2.326 0.000 6.796
Nd Al Au
8 1 2
direct
0.024 0.024 0.275
0.195 0.195 0.828
0.330 0.330 0.515
0.409 0.409 0.032
0.591 0.591 0.968
0.670 0.670 0.485
0.805 0.805 0.172
0.976 0.976 0.725
0.500 0.500 0.500
0.177 0.177 0.227
0.823 0.823 0.773
```

Summary:
D(E_F), states/eV/atom: 1.060
ΔE to the lowest computed polymorph, meV per atom: 0
Symmetry: C2/m
Raw total energy, eV per atom: -4.7340

=====

Entry 4:
An optimized crystal structure of TbThSn2, computed with PBE.

The structure in POSCAR format:
```
TbThSn2
1.0
3.517 0.000 0.000
0.000 3.517 0.000
0.000 0.000 8.941
Tb Th Sn
1 1 2
direct
0.000 0.000 0.000
0.000 0.000 0.500
0.500 0.500 0.243
0.500 0.500 0.757
```

Summary:
D(E_F), states/eV/atom: 0.800
ΔE to the lowest computed polymorph, meV per atom: 65
Symmetry: P4/mmm
Raw total energy, eV per atom: -5.5817

=====

Entry 5:
An optimized crystal structure of Ti2Re2Ge, computed with PBE.

The structure in POSCAR format:
```
Ti2Re2Ge
1.0
-2.045 2.045 5.502
2.045 -2.045 5.502
2.045 2.045 -5.502
Ti Re Ge
2 2 1
direct
0.250 0.750 0.500
0.750 0.250 0.500
0.110 0.110 0.000
0.890 0.890 0.000
0.500 0.500 0.000
```

Summary:
D(E_F), states/eV/atom: 0.746
ΔE to the lowest computed polymorph, meV per atom: 531
Symmetry: I4/mmm
Raw total energy, eV per atom: -8.4869

=====

Entry 6:
An optimized crystal structure of Na3MgAu, computed with PBE.

The structure in POSCAR format:
```
Na3MgAu
1.0
5.738 0.000 0.000
0.000 5.738 0.000
0.000 0.000 5.738
Na Mg Au
3 1 1
direct
0.000 0.000 0.500
0.000 0.500 0.000
0.500 0.000 0.000
0.000 0.000 0.000
0.500 0.500 0.500
```

Summary:
D(E_F), states/eV/atom: 0.679
ΔE to the lowest computed polymorph, meV per atom: 404
Symmetry: Pm-3m
Raw total energy, eV per atom: -1.2920

=====

Entry 7:
An optimized crystal structure of Y5HoSc, computed with PBE.

The structure in POSCAR format:
```
Y5HoSc
1.0
6.095 0.000 0.000
-1.017 6.016 0.000
-1.029 -1.195 5.898
Y Ho Sc
5 1 1
direct
0.000 0.000 0.000
0.137 0.563 0.286
0.289 0.141 0.574
0.427 0.710 0.863
0.712 0.852 0.426
0.851 0.424 0.714
0.571 0.282 0.144
```

Summary:
D(E_F), states/eV/atom: 1.545
Symmetry: P1
Raw total energy, eV per atom: -6.1346

=====

Entry 8:
An optimized crystal structure of LiMn2Co, computed with PBE.

The structure in POSCAR format:
```
LiMn2Co
1.0
4.115 0.000 0.000
0.000 4.115 0.000
0.000 0.000 2.874
Li Mn Co
1 2 1
direct
0.000 0.000 0.000
0.000 0.500 0.500
0.500 0.000 0.500
0.500 0.500 0.000
```

Summary:
D(E_F), states/eV/atom: 0.927
ΔE to the lowest computed polymorph, meV per atom: 51
Symmetry: P4/mmm
Raw total energy, eV per atom: -6.6099

=====

Entry 9:
An optimized crystal structure of Sr2HRhSe, computed with PBE.

The structure in POSCAR format:
```
Sr2HRhSe
1.0
5.581 0.000 0.000
0.000 5.581 0.000
0.000 0.000 3.668
Sr H Rh Se
2 1 1 1
direct
0.000 0.500 0.000
0.500 0.000 0.000
0.000 0.000 0.500
0.000 0.000 0.000
0.500 0.500 0.500
```

Summary:
ΔE to the lowest computed polymorph, meV per atom: 128
Symmetry: P4/mmm
Raw total energy, eV per atom: -4.2584

=====

Entry 10:
An optimized crystal structure of Dy3Ga12Bi5, computed with PBE.

The structure in POSCAR format:
```
Dy3Ga12Bi5
1.0
-8.440 8.440 8.440
8.440 -8.440 8.440
8.440 8.440 -8.440
Dy Ga Bi
12 48 20
direct
0.125 0.250 0.375
0.125 0.375 0.750
0.250 0.375 0.125
0.250 0.875 0.625
0.375 0.125 0.250
0.375 0.750 0.125
0.625 0.250 0.875
0.625 0.875 0.750
0.750 0.125 0.375
0.750 0.625 0.875
0.875 0.625 0.250
0.875 0.750 0.625
0.054 0.235 0.113
0.054 0.319 0.941
0.059 0.613 0.378
0.059 0.946 0.681
0.113 0.054 0.235
0.113 0.559 0.878
0.122 0.735 0.681
0.122 0.887 0.441
0.181 0.235 0.622
0.181 0.446 0.559
0.235 0.113 0.054
0.235 0.622 0.181
0.265 0.319 0.878
0.265 0.446 0.387
0.319 0.878 0.265
0.319 0.941 0.054
0.378 0.059 0.613
0.378 0.819 0.765
0.387 0.265 0.446
0.387 0.622 0.941
0.441 0.122 0.887
0.441 0.819 0.554
0.446 0.387 0.265
0.446 0.559 0.181
0.554 0.441 0.819
0.554 0.613 0.735
0.559 0.181 0.446
0.559 0.878 0.113
0.613 0.378 0.059
0.613 0.735 0.554
0.622 0.181 0.235
0.622 0.941 0.387
0.681 0.059 0.946
0.681 0.122 0.735
0.735 0.554 0.613
0.735 0.681 0.122
0.765 0.378 0.819
0.765 0.887 0.946
0.819 0.554 0.441
0.819 0.765 0.378
0.878 0.113 0.559
0.878 0.265 0.319
0.887 0.441 0.122
0.887 0.946 0.765
0.941 0.054 0.319
0.941 0.387 0.622
0.946 0.681 0.059
0.946 0.765 0.887
0.000 0.000 0.000
0.000 0.000 0.500
0.000 0.500 0.000
0.000 0.500 0.500
0.125 0.750 0.875
0.125 0.875 0.250
0.250 0.125 0.875
0.250 0.625 0.375
0.375 0.250 0.625
0.375 0.625 0.750
0.500 0.000 0.000
0.500 0.000 0.500
0.500 0.500 0.000
0.500 0.500 0.500
0.625 0.375 0.250
0.625 0.750 0.375
0.750 0.375 0.625
0.750 0.875 0.125
0.875 0.125 0.750
0.875 0.250 0.125
```

Summary:
D(E_F), states/eV/atom: 0.402
Symmetry: Ia-3d
Raw total energy, eV per atom: -3.3449

=====

Entry 11:
An optimized crystal structure of Sm4MgTe7, computed with PBE.

The structure in POSCAR format:
```
Sm4MgTe7
1.0
7.216 -2.159 0.000
7.216 2.159 0.000
-3.483 0.000 12.655
Sm Mg Te
4 1 7
direct
0.000 0.000 0.000
0.207 0.207 0.778
0.595 0.595 0.373
0.900 0.900 0.556
0.770 0.770 0.139
0.159 0.159 0.217
0.236 0.236 0.524
0.360 0.360 0.038
0.561 0.561 0.620
0.628 0.628 0.926
0.862 0.862 0.777
0.929 0.929 0.332
```

Summary:
D(E_F), states/eV/atom: 0.016
ΔE_f (raw), meV per atom: -1304
Symmetry: Cm
Raw total energy, eV per atom: -4.8426

=====

Entry 12:
An optimized crystal structure of Ti3IrPd, computed with PBE.

The structure in POSCAR format:
```
Ti3IrPd
1.0
4.578 -2.146 0.000
4.578 2.146 0.000
-1.636 0.000 7.952
Ti Ir Pd
6 2 2
direct
0.070 0.070 0.199
0.221 0.221 0.897
0.322 0.322 0.584
0.678 0.678 0.416
0.779 0.779 0.103
0.930 0.930 0.801
0.000 0.000 0.500
0.500 0.500 0.000
0.363 0.363 0.276
0.637 0.637 0.724
```

Summary:
D(E_F), states/eV/atom: 0.873
ΔE to the lowest computed polymorph, meV per atom: 0
Symmetry: C2/m
Raw total energy, eV per atom: -8.0628